A plane-wave DFT calculation with SCAN was carried out for As3Ir at its PBEsol-relaxed geometry.

Calculated values
Its offset from the most stable computed form is 97.4 kJ per mole of atoms. As for the total energy: -32.466 eV per atom. As for the density of states at the Fermi level: 2.15 states/eV/cell. The value obtained for the formation energy is 451 meV per atom. Its space group is P4/mmm.

Unit cell a=2.9565 b=4.6981 c=4.6981 alpha=90.00 beta=90.00 gamma=90.00
Fractional positions:
As1 0.5000 0.5000 0.5000
As2 0.0000 0.5000 0.0000
As3 0.0000 0.0000 0.5000
Ir1 0.5000 0.0000 0.0000